No. 1
Entry from Alexandria: SnB2Os after structural relaxation (PBE-GGA).

Unit cell a=5.1248 b=5.1248 c=6.1302 alpha=65.29 beta=65.29 gamma=90.00
Closest atoms and distances in Å follow each position.
Element x y z (fractional)
B1 0.6889 0.1250 0.2500  2 Os 2.02
B2 0.0611 0.6250 0.2500  2 Os 2.02
B3 0.3750 0.3111 0.7500  2 Os 2.02
B4 0.8750 0.9389 0.7500  2 Os 2.02
Os1 0.0000 0.0000 0.0000  4 B 2.02
Os2 0.7500 0.2500 0.5000  4 B 2.02
Sn1 0.5000 0.5000 0.0000  4 B 2.40
Sn2 0.2500 0.7500 0.5000  4 B 2.40

Values from the calculation:
- energy of formation (eV per atom) = 0.62
- density (kg/m3) = 8454
- size of the total moment (μB/cell) = 0.00
- symmetry = No. 122



No. 2
Entry from Alexandria: SnB2Os2 after structural relaxation (PBE-GGA).

Unit cell a=3.0358 b=3.0358 c=7.1485 alpha=77.74 beta=77.74 gamma=90.00
Closest atoms and distances in Å follow each position.
Element x y z (fractional)
B1 0.7500 0.2500 0.5000  4 B 2.15, 4 Os 2.19
B2 0.2500 0.7500 0.5000  4 B 2.15, 4 Os 2.19
Os1 0.3659 0.3659 0.2681  4 B 2.19
Os2 0.6341 0.6341 0.7319  4 B 2.19
Sn1 0.0000 0.0000 0.0000  8 Os 2.82, 4 Sn 3.04

Values from the calculation:
- energy of formation (eV per atom) = 0.07
- density (kg/m3) = 13761
- energy above the lowest structure with this stoichiometry (meV/atom) = 0
- size of the total moment (μB/cell) = 0.00
- symmetry = No. 139



No. 3
Entry from Alexandria: SnB2Os2 after structural relaxation (PBE-GGA).

Unit cell a=6.5518 b=6.5518 c=2.8709 alpha=90.00 beta=90.00 gamma=90.00
Closest atoms and distances in Å follow each position.
Element x y z (fractional)
B1 0.3846 0.8846 0.0000  1 B 2.14, 4 Os 2.29
B2 0.8846 0.6154 0.0000  1 B 2.14, 4 Os 2.29
B3 0.6154 0.1154 0.0000  1 B 2.14, 4 Os 2.29
B4 0.1154 0.3846 0.0000  1 B 2.14, 4 Os 2.29
Os1 0.1540 0.6540 0.5000  4 B 2.29
Os2 0.6540 0.8460 0.5000  4 B 2.29
Os3 0.8460 0.3460 0.5000  4 B 2.29
Os4 0.3460 0.1540 0.5000  4 B 2.29
Sn1 0.0000 0.0000 0.0000  4 B 2.63, 8 Os 2.87, 2 Sn 2.87
Sn2 0.5000 0.5000 0.0000  4 B 2.63, 8 Os 2.87, 2 Sn 2.87

Values from the calculation:
- energy of formation (eV per atom) = 0.61
- density (kg/m3) = 14035
- energy above the lowest structure with this stoichiometry (meV/atom) = 544
- size of the total moment (μB/cell) = 0.00
- symmetry = No. 127